TmZr2NbN4 (PBE, relaxed); density of states at the Fermi level = 2.756 states/eV/f.u.; uncorrected energy = -9.65 eV per atom; symmetry = No. 10; formation energy from raw total energies = -1530 meV per atom
1.0
3.257 0.000 0.000
0.000 5.648 0.106
0.000 -1.966 5.288
Tm Zr Nb N
1 2 1 4
Cartesian
1.629 2.824 0.053
1.629 -0.983 2.644
0.000 1.841 2.697
0.000 0.000 0.000
1.629 0.900 1.354
1.629 2.782 4.040
0.000 -0.082 3.959
0.000 3.764 1.436